Computed, not measured: a geometry-optimized AcEuSiRh structure at the PBE level of DFT.

## Properties
space-group type = F-43m
E_form (uncorrected) = -0.344 eV/atom
total magnetization = 26.26 Bohr magnetons per cell

abc: 7.3948 7.3948 7.3948
angles: 90.00 90.00 90.00
With the nearest neighbours (Å) after each atom.
Fractional coordinates of all 16 atoms:
Ac 0.0000 0.0000 0.0000  4 Rh 3.20, 4 Si 3.20
Ac 0.0000 0.5000 0.5000  4 Rh 3.20, 4 Si 3.20
Ac 0.5000 0.0000 0.5000  4 Rh 3.20, 4 Si 3.20
Ac 0.5000 0.5000 0.0000  4 Rh 3.20, 4 Si 3.20
Eu 0.0000 0.0000 0.5000  4 Rh 3.20, 4 Si 3.20
Eu 0.0000 0.5000 0.0000  4 Rh 3.20, 4 Si 3.20
Eu 0.5000 0.0000 0.0000  4 Rh 3.20, 4 Si 3.20
Eu 0.5000 0.5000 0.5000  4 Rh 3.20, 4 Si 3.20
Si 0.2500 0.2500 0.7500  4 Ac 3.20, 4 Eu 3.20
Si 0.2500 0.7500 0.2500  4 Ac 3.20, 4 Eu 3.20
Si 0.7500 0.2500 0.2500  4 Ac 3.20, 4 Eu 3.20
Si 0.7500 0.7500 0.7500  4 Ac 3.20, 4 Eu 3.20
Rh 0.2500 0.2500 0.2500  4 Ac 3.20, 4 Eu 3.20
Rh 0.2500 0.7500 0.7500  4 Ac 3.20, 4 Eu 3.20
Rh 0.7500 0.2500 0.7500  4 Ac 3.20, 4 Eu 3.20
Rh 0.7500 0.7500 0.2500  4 Ac 3.20, 4 Eu 3.20